No. 1
# Nb2ReBi

Crystalline Nb2ReBi at its relaxed geometry (GGA-PBE, the Alexandria database).

Calculated values
DOS at the Fermi energy, states/eV/f.u.: 4.52
Magnetic moment, μB/f.u.: 0.00
Crystal system: tetragonal

Unit cell a=4.087 b=4.087 c=10.228 alpha=78.48 beta=78.48 gamma=90.00
Fractional coordinates of all 8 atoms:
1 Re 0.500 0.500 0.000
2 Re 0.250 0.750 0.500
3 Nb 0.625 0.125 0.250
4 Nb 0.125 0.625 0.250
5 Nb 0.375 0.375 0.750
6 Nb 0.875 0.875 0.750
7 Bi 0.000 0.000 0.000
8 Bi 0.750 0.250 0.500

---

No. 2
# Nb2Re2Bi

Crystalline Nb2Re2Bi at its relaxed geometry (GGA-PBE, the Alexandria database).

Calculated values
Distance to the lowest polymorph of the same formula, eV per atom: 0.0043
DOS at the Fermi energy, states/eV/f.u.: 3.48
Magnetic moment, μB/f.u.: 0.00
Crystal system: tetragonal

Unit cell a=4.039 b=4.039 c=7.101 alpha=73.48 beta=73.48 gamma=90.00
Fractional coordinates of all 5 atoms:
1 Re 0.750 0.250 0.500
2 Re 0.250 0.750 0.500
3 Nb 0.378 0.378 0.245
4 Nb 0.622 0.622 0.755
5 Bi 0.000 0.000 0.000

---

No. 3
# NbRe2Bi

Crystalline NbRe2Bi at its relaxed geometry (GGA-PBE, the Alexandria database).

Calculated values
DOS at the Fermi energy, states/eV/f.u.: 4.63
Magnetic moment, μB/f.u.: 0.00
Crystal system: tetragonal

Unit cell a=4.068 b=4.068 c=10.300 alpha=78.61 beta=78.61 gamma=90.00
Fractional coordinates of all 8 atoms:
1 Re 0.551 0.125 0.250
2 Re 0.199 0.625 0.250
3 Re 0.375 0.449 0.750
4 Re 0.875 0.801 0.750
5 Nb 0.500 0.500 0.000
6 Nb 0.250 0.750 0.500
7 Bi 0.000 0.000 0.000
8 Bi 0.750 0.250 0.500

---

No. 4
# NbReBi3

Crystalline NbReBi3 at its relaxed geometry (GGA-PBE, the Alexandria database).

Calculated values
Distance to the lowest polymorph of the same formula, eV per atom: 0.0000
DOS at the Fermi energy, states/eV/f.u.: 4.46
Magnetic moment, μB/f.u.: 3.72
Crystal system: cubic

Unit cell a=5.329 b=5.329 c=5.329 alpha=90.00 beta=90.00 gamma=90.00
Last column: magnetic moment on the atom in μB.
Fractional coordinates of all 5 atoms:
1 Re 0.000 0.000 0.000  0.38
2 Nb 0.500 0.500 0.500  2.66
3 Bi 0.000 0.500 0.000  -0.05
4 Bi 0.000 0.000 0.500  -0.11
5 Bi 0.500 0.000 0.000  0.00

---

No. 5
# NbReBi2

Crystalline NbReBi2 at its relaxed geometry (GGA-PBE, the Alexandria database).

Calculated values
Distance to the lowest polymorph of the same formula, eV per atom: 0.4350
DOS at the Fermi energy, states/eV/f.u.: 4.95
Magnetic moment, μB/f.u.: 0.88
Crystal system: tetragonal

Unit cell a=8.104 b=8.104 c=6.437 alpha=50.99 beta=50.99 gamma=90.00
Last column: magnetic moment on the atom in μB.
Fractional coordinates of all 8 atoms:
1 Re 0.000 0.000 0.000  -0.35
2 Re 0.750 0.250 0.500  -0.35
3 Nb 0.500 0.500 0.000  1.08
4 Nb 0.250 0.750 0.500  1.09
5 Bi 0.659 0.125 0.250  -0.01
6 Bi 0.091 0.625 0.250  -0.01
7 Bi 0.375 0.341 0.750  -0.01
8 Bi 0.875 0.909 0.750  -0.01

---

No. 6
# NbReBi2

Crystalline NbReBi2 at its relaxed geometry (GGA-PBE, the Alexandria database).

Calculated values
Distance to the lowest polymorph of the same formula, eV per atom: 0.0000
DOS at the Fermi energy, states/eV/f.u.: 5.84
Magnetic moment, μB/f.u.: 1.60
Crystal system: cubic

Unit cell a=4.895 b=4.895 c=4.895 alpha=60.00 beta=60.00 gamma=60.00
Last column: magnetic moment on the atom in μB.
Fractional coordinates of all 4 atoms:
1 Re 0.500 0.500 0.500  0.71
2 Nb 0.000 0.000 0.000  0.74
3 Bi 0.250 0.250 0.250  -0.02
4 Bi 0.750 0.750 0.750  -0.02

---

No. 7
# Nb2Re2Bi

Crystalline Nb2Re2Bi at its relaxed geometry (GGA-PBE, the Alexandria database).

Calculated values
Distance to the lowest polymorph of the same formula, eV per atom: 0.0000
DOS at the Fermi energy, states/eV/f.u.: 6.33
Magnetic moment, μB/f.u.: 0.00
Crystal system: tetragonal

Unit cell a=7.983 b=7.983 c=3.028 alpha=90.00 beta=90.00 gamma=90.00
Fractional coordinates of all 10 atoms:
1 Re 0.143 0.643 0.500
2 Re 0.643 0.857 0.500
3 Re 0.857 0.357 0.500
4 Re 0.357 0.143 0.500
5 Nb 0.357 0.857 0.000
6 Nb 0.857 0.643 0.000
7 Nb 0.643 0.143 0.000
8 Nb 0.143 0.357 0.000
9 Bi 0.000 0.000 0.000
10 Bi 0.500 0.500 0.000

---

No. 8
# NbReBi3

Crystalline NbReBi3 at its relaxed geometry (GGA-PBE, the Alexandria database).

Calculated values
Distance to the lowest polymorph of the same formula, eV per atom: 0.1797
DOS at the Fermi energy, states/eV/f.u.: 4.78
Magnetic moment, μB/f.u.: 4.06
Crystal system: cubic

Unit cell a=5.461 b=5.461 c=5.461 alpha=90.00 beta=90.00 gamma=90.00
Last column: magnetic moment on the atom in μB.
Fractional coordinates of all 5 atoms:
1 Re 0.500 0.500 0.500  3.57
2 Nb 0.000 0.000 0.000  0.29
3 Bi 0.000 0.500 0.000  -0.17
4 Bi 0.000 0.000 0.500  -0.18
5 Bi 0.500 0.000 0.000  -0.10

---

| no. | formation energy from the elements (kJ per mole of atoms) |
| --- | --- |
| 1 | 90 |
| 2 | 48 |
| 3 | 99 |
| 4 | 131 |
| 5 | 118 |
| 6 | 76 |
| 7 | 48 |
| 8 | 148 |